Material: La2DyTm2
Method: DFT, GGA-PBE
State: relaxed

Calculated values
Its crystal system is monoclinic. The value obtained for the distance to the lowest polymorph of the same formula is 0 meV per atom.

a b c (Å): 8.799 9.623 8.892
angles (deg): 90.00 113.16 90.00
Space group C2/c (No. 15)
Inequivalent atoms, fractional coordinates:
La: 0.161 0.087 0.141 x8
Dy: 0.000 0.208 0.750 x4
Tm: 0.000 0.500 0.000 x4
Tm: 0.250 0.250 0.500 x4



Material: La4Dy2Tm5
Method: DFT, GGA-PBE
State: relaxed

Calculated values
Its crystal system is monoclinic. The value obtained for the distance to the lowest polymorph of the same formula is 104 meV per atom.

a b c (Å): 24.170 3.435 8.835
angles (deg): 90.00 96.35 90.00
Space group C2/m (No. 12)
Inequivalent atoms, fractional coordinates:
La: 0.090 0.000 0.246 x4
La: 0.177 0.500 0.970 x4
Dy: 0.045 0.000 0.857 x4
Tm: 0.000 0.500 0.500 x2
Tm: 0.140 0.000 0.616 x4
Tm: 0.235 0.000 0.332 x4



Material: La3Dy3Tm
Method: DFT, GGA-PBE
State: relaxed

Calculated values
Its crystal system is trigonal.

a b c (Å): 8.8198 8.8198 21.5021
angles (deg): 90.00 90.00 120.00
Space group R-3 (No. 148, hexagonal axes)
Inequivalent atoms, fractional coordinates:
La: 0.0073 0.7571 0.0571 x18
Dy: 0.0546 0.7840 0.2143 x18
Tm: 0.0000 0.0000 0.3527 x6



Material: La12Dy5Tm
Method: DFT, GGA-PBE
State: relaxed

Calculated values
Its crystal system is monoclinic.

a b c (Å): 6.368 11.032 18.066
angles (deg): 90.00 96.71 90.00
Space group C2/m (No. 12)
Inequivalent atoms, fractional coordinates:
La: 0.113 0.000 0.337 x4
La: 0.113 0.333 0.337 x8
La: 0.220 0.166 0.164 x8
La: 0.222 0.500 0.164 x4
Dy: 0.000 0.167 0.500 x4
Dy: 0.000 0.333 0.000 x4
Dy: 0.000 0.500 0.500 x2
Tm: 0.000 0.000 0.000 x2



Material: LaDy4Tm10
Method: DFT, GGA-PBE
State: relaxed

Calculated values
Its crystal system is tetragonal.

a b c (Å): 12.788 12.788 6.430
angles (deg): 90.00 90.00 90.00
Space group I4/m (No. 87)
Inequivalent atoms, fractional coordinates:
La: 0.000 0.000 0.000 x2
Dy: 0.067 0.826 0.500 x8
Tm: 0.000 0.500 0.250 x4
Tm: 0.129 0.291 0.250 x16



Material: La3Dy3Tm8
Method: DFT, GGA-PBE
State: relaxed

Calculated values
Its crystal system is orthorhombic.

a b c (Å): 5.628 10.739 15.138
angles (deg): 90.00 90.00 90.00
Space group Immm (No. 71)
Inequivalent atoms, fractional coordinates:
La: 0.000 0.000 0.000 x2
La: 0.000 0.500 0.313 x4
Dy: 0.000 0.000 0.500 x2
Dy: 0.000 0.297 0.500 x4
Tm: 0.000 0.162 0.281 x8
Tm: 0.000 0.342 0.102 x8



Material: La3DyTm8
Method: DFT, GGA-PBE
State: relaxed

Calculated values
Its crystal system is orthorhombic.

a b c (Å): 6.385 11.393 11.399
angles (deg): 90.00 90.00 90.00
Space group Immm (No. 71)
Inequivalent atoms, fractional coordinates:
La: 0.000 0.000 0.000 x2
La: 0.000 0.247 0.500 x4
Dy: 0.000 0.500 0.000 x2
Tm: 0.000 0.251 0.173 x8
Tm: 0.248 0.000 0.255 x8



Material: La10Dy4Tm
Method: DFT, GGA-PBE
State: relaxed

Calculated values
Its crystal system is tetragonal.

a b c (Å): 12.464 12.464 7.947
angles (deg): 90.00 90.00 90.00
Space group I4/m (No. 87)
Inequivalent atoms, fractional coordinates:
La: 0.000 0.500 0.250 x4
La: 0.099 0.200 0.249 x16
Dy: 0.100 0.700 0.500 x8
Tm: 0.000 0.000 0.000 x2



Material: LaDy5Tm7
Method: DFT, GGA-PBE
State: relaxed

Calculated values
Its crystal system is orthorhombic.

a b c (Å): 6.648 11.033 11.500
angles (deg): 90.00 90.00 90.00
Space group Imm2 (No. 44)
Inequivalent atoms, fractional coordinates:
La: 0.000 0.000 0.000 x2
Dy: 0.000 0.500 0.202 x2
Dy: 0.234 0.230 0.204 x8
Tm: 0.000 0.000 0.392 x2
Tm: 0.000 0.000 0.697 x2
Tm: 0.000 0.330 0.454 x4
Tm: 0.000 0.333 0.952 x4
Tm: 0.000 0.500 0.706 x2



Material: La4Dy8Tm
Method: DFT, GGA-PBE
State: relaxed

Calculated values
Its crystal system is trigonal.

a b c (Å): 11.0568 11.0568 13.4729
angles (deg): 90.00 90.00 120.00
Space group R-3m (No. 166, hexagonal axes)
Inequivalent atoms, fractional coordinates:
La: 0.0000 0.0000 0.0000 x3
La: 0.0000 0.5000 0.0000 x9
Dy: 0.0000 0.0000 0.2394 x6
Dy: 0.0134 0.5067 0.7456 x18
Tm: 0.0000 0.0000 0.5000 x3



Material: LaDy7Tm12
Method: DFT, GGA-PBE
State: relaxed

Calculated values
Its crystal system is cubic.

a b c (Å): 11.177 11.177 11.177
angles (deg): 90.00 90.00 90.00
Space group Im-3 (No. 204)
Inequivalent atoms, fractional coordinates:
La: 0.000 0.000 0.000 x2
Dy: 0.000 0.000 0.500 x6
Dy: 0.250 0.250 0.250 x8
Tm: 0.000 0.258 0.259 x24



Material: LaDy12Tm5
Method: DFT, GGA-PBE
State: relaxed

Calculated values
Its crystal system is orthorhombic.

a b c (Å): 15.013 15.029 5.003
angles (deg): 90.00 90.00 90.00
Space group Cmmm (No. 65)
Inequivalent atoms, fractional coordinates:
La: 0.000 0.000 0.000 x2
Dy: 0.165 0.334 0.500 x8
Dy: 0.166 0.500 0.000 x4
Dy: 0.168 0.168 0.000 x8
Dy: 0.169 0.000 0.500 x4
Tm: 0.000 0.169 0.500 x4
Tm: 0.000 0.334 0.000 x4
Tm: 0.000 0.500 0.500 x2



Material: La5Dy4Tm2
Method: DFT, GGA-PBE
State: relaxed

Calculated values
Its crystal system is monoclinic. The value obtained for the distance to the lowest polymorph of the same formula is 0 meV per atom.

a b c (Å): 17.784 3.565 11.748
angles (deg): 90.00 93.92 90.00
Space group C2/m (No. 12)
Inequivalent atoms, fractional coordinates:
La: 0.000 0.000 0.000 x2
La: 0.098 0.500 0.536 x4
La: 0.177 0.500 0.073 x4
Dy: 0.037 0.500 0.263 x4
Dy: 0.141 0.000 0.797 x4
Tm: 0.215 0.000 0.350 x4



Material: La6Dy2Tm3
Method: DFT, GGA-PBE
State: relaxed

Calculated values
Its crystal system is triclinic.

a b c (Å): 6.296 8.105 8.149
angles (deg): 107.07 97.28 105.03
Space group P-1 (No. 2)
Inequivalent atoms, fractional coordinates:
La: 0.048 0.181 0.409 x2
La: 0.136 0.547 0.231 x2
La: 0.322 0.271 0.866 x2
Dy: 0.230 0.912 0.048 x2
Tm: 0.410 0.640 0.683 x2
Tm: 0.500 0.000 0.500 x1



Material: La12DyTm7
Method: DFT, GGA-PBE
State: relaxed

Calculated values
Its crystal system is trigonal.

a b c (Å): 12.4325 12.4325 15.4330
angles (deg): 90.00 90.00 120.00
Space group R-3 (No. 148, hexagonal axes)
Inequivalent atoms, fractional coordinates:
La: 0.0131 0.5740 0.2208 x18
La: 0.0667 0.4699 0.5778 x18
Dy: 0.0000 0.0000 0.5000 x3
Tm: 0.0000 0.0000 0.0000 x3
Tm: 0.0506 0.8675 0.3084 x18



Material: La12DyTm6
Method: DFT, GGA-PBE
State: relaxed

Calculated values
Its crystal system is trigonal.

a b c (Å): 14.9316 14.9316 10.4814
angles (deg): 90.00 90.00 120.00
Space group R-3 (No. 148, hexagonal axes)
Inequivalent atoms, fractional coordinates:
La: 0.0426 0.7867 0.0754 x18
La: 0.0668 0.8383 0.4226 x18
Dy: 0.0000 0.0000 0.0000 x3
Tm: 0.0480 0.8473 0.7603 x18



Material: LaDy2Tm7
Method: DFT, GGA-PBE
State: relaxed

Calculated values
Its crystal system is orthorhombic. The value obtained for the distance to the lowest polymorph of the same formula is 681 meV per atom.

a b c (Å): 8.648 16.078 5.574
angles (deg): 90.00 90.00 90.00
Space group Cmmm (No. 65)
Inequivalent atoms, fractional coordinates:
La: 0.000 0.000 0.000 x2
Dy: 0.000 0.297 0.500 x4
Tm: 0.000 0.216 0.000 x4
Tm: 0.000 0.500 0.500 x2
Tm: 0.176 0.116 0.500 x8



Material: La4Dy2Tm
Method: DFT, GGA-PBE
State: relaxed

Calculated values
Its crystal system is monoclinic. The value obtained for the distance to the lowest polymorph of the same formula is 0 meV per atom.

a b c (Å): 6.530 24.634 6.870
angles (deg): 90.00 118.36 90.00
Space group Cc (No. 9)
Inequivalent atoms, fractional coordinates:
La: 0.000 0.019 0.000 x4
La: 0.011 0.446 0.953 x4
La: 0.357 0.231 0.714 x4
La: 0.412 0.196 0.259 x4
Dy: 0.387 0.342 0.314 x4
Dy: 0.430 0.092 0.898 x4
Tm: 0.460 0.375 0.856 x4



Material: La2Dy5Tm4
Method: DFT, GGA-PBE
State: relaxed

Calculated values
Its crystal system is monoclinic. The value obtained for the distance to the lowest polymorph of the same formula is 91 meV per atom.

a b c (Å): 16.500 6.654 6.700
angles (deg): 90.00 100.85 90.00
Space group C2/m (No. 12)
Inequivalent atoms, fractional coordinates:
La: 0.201 0.000 0.298 x4
Dy: 0.000 0.000 0.500 x2
Dy: 0.088 0.264 0.907 x8
Tm: 0.086 0.500 0.404 x4
Tm: 0.243 0.000 0.807 x4



| no. | DFT formation energy (eV per atom) | total magnetic moment (μB/f.u.) |
| --- | --- | --- |
| 1 | 0.243 | 0.00 |
| 2 | 0.152 | 0.00 |
| 3 | 0.260 | 0.00 |
| 4 | 0.016 | 0.00 |
| 5 | 0.564 | 0.00 |
| 6 | 0.106 | 0.00 |
| 7 | 0.273 | 0.00 |
| 8 | 0.634 | 0.00 |
| 9 | 0.252 | 0.00 |
| 10 | 0.540 | 4.08 |
| 11 | 0.718 | 0.00 |
| 12 | 0.025 | 0.00 |
| 13 | 0.082 | 0.00 |
| 14 | 0.028 | 0.00 |
| 15 | 0.197 | 0.00 |
| 16 | 0.231 | 0.00 |
| 17 | 0.709 | 0.00 |
| 18 | 0.071 | 0.00 |
| 19 | 0.158 | 0.00 |